# 1
An optimized crystal structure of Li2Cd4Ir. Source: Alexandria, functional GGA-PBE.

Properties
As for the total energy: -17.5 eV/cell. The value obtained for the energy relative to the elements is -0.17 eV per atom. Its space group is I4/mmm, No. 139.

Unit cell a=5.6200 b=5.6200 c=5.6200 alpha=100.33 beta=114.23 gamma=114.23
With the nearest neighbours (Å) after each atom.
Positions (direct):
Ir: 0.0000 0.0000 0.0000  8 Cd 2.81, 4 Li 3.05
Li: 0.5000 0.5000 0.0000  8 Cd 2.81, 2 Ir 3.05
Cd: 0.0000 0.5000 0.0000  2 Ir 2.81, 4 Li 2.81, 4 Cd 3.05
Li: 0.5000 0.0000 0.5000  8 Cd 2.81, 2 Ir 3.05
Cd: 0.5000 0.0000 0.0000  4 Li 2.81, 2 Ir 2.81, 4 Cd 3.05
Cd: 0.5000 0.5000 0.5000  4 Li 2.81, 2 Ir 2.81, 4 Cd 3.05
Cd: 0.0000 0.0000 0.5000  4 Li 2.81, 2 Ir 2.81, 4 Cd 3.05



# 2
An optimized crystal structure of Li2Cd2Ir. Source: Alexandria, functional GGA-PBE.

Properties
As for the total energy: -28.1 eV/cell. The value obtained for the energy relative to the elements is 0.09 eV per atom. The distance to the lowest polymorph of the same formula is 46 meV per atom. Its space group is P4/mbm, No. 127.

Unit cell a=7.4437 b=7.4437 c=2.9473 alpha=90.00 beta=90.00 gamma=90.00
With the nearest neighbours (Å) after each atom.
Positions (direct):
Li: 0.3383 0.1617 0.5000  6 Cd 2.55-2.70
Cd: 0.1412 0.3588 0.0000  6 Li 2.55-2.70
Ir: 0.5000 0.5000 0.0000  4 Cd 2.87, 2 Ir 2.95, 8 Li 3.16
Li: 0.6617 0.8383 0.5000  6 Cd 2.55-2.70
Li: 0.1617 0.6617 0.5000  6 Cd 2.55-2.70
Li: 0.8383 0.3383 0.5000  6 Cd 2.55-2.70
Cd: 0.6412 0.1412 0.0000  6 Li 2.55-2.70
Cd: 0.8588 0.6412 0.0000  6 Li 2.55-2.70
Ir: 0.0000 0.0000 0.0000  4 Cd 2.87, 2 Ir 2.95, 8 Li 3.16
Cd: 0.3588 0.8588 0.0000  6 Li 2.55-2.70



# 3
An optimized crystal structure of LiCdIr3. Source: Alexandria, functional GGA-PBE.

Properties
As for the total energy: -25.2 eV/cell. The value obtained for the energy relative to the elements is 0.85 eV per atom. The distance to the lowest polymorph of the same formula is 0 meV per atom. Its space group is Pm-3m, No. 221.

Unit cell a=4.2229 b=4.2229 c=4.2229 alpha=90.00 beta=90.00 gamma=90.00
With the nearest neighbours (Å) after each atom.
Positions (direct):
Ir: 0.0000 0.5000 0.0000  2 Li 2.11
Ir: 0.0000 0.0000 0.5000  2 Li 2.11
Ir: 0.5000 0.0000 0.0000  2 Li 2.11
Li: 0.0000 0.0000 0.0000  6 Ir 2.11
Cd: 0.5000 0.5000 0.5000  12 Ir 2.99



# 4
An optimized crystal structure of Li8Cd2Ir. Source: Alexandria, functional GGA-PBE.

Properties
As for the total energy: -27.3 eV/cell. The value obtained for the energy relative to the elements is -0.11 eV per atom. Its space group is C2/m, No. 12.

Unit cell a=4.2294 b=6.6255 c=7.2481 alpha=110.78 beta=106.96 gamma=90.00
With the nearest neighbours (Å) after each atom.
Positions (direct):
Li: 0.0348 0.7496 0.0696  6 Li 2.55-2.72, 2 Ir 2.84
Li: 0.5881 0.4236 0.1761  1 Ir 2.61, 5 Li 2.69-2.92, 3 Cd 2.83-2.85
Li: 0.4119 0.5764 0.8239  1 Ir 2.61, 5 Li 2.69-2.92, 3 Cd 2.83-2.85
Li: 0.9652 0.2504 0.9304  6 Li 2.55-2.72, 2 Ir 2.84
Li: 0.3342 0.1033 0.6683  1 Ir 2.63, 5 Li 2.72-2.91, 1 Cd 2.83
Cd: 0.2234 0.6486 0.4469  10 Li 2.83-3.00, 2 Cd 3.16
Li: 0.6658 0.8967 0.3317  1 Ir 2.63, 5 Li 2.72-2.91, 1 Cd 2.83
Ir: 0.5000 0.0000 0.0000  12 Li 2.61-2.84
Li: 0.8714 0.8393 0.7429  2 Li 2.55, 2 Ir 2.72
Cd: 0.7766 0.3514 0.5531  10 Li 2.83-3.00, 2 Cd 3.16
Li: 0.1286 0.1607 0.2571  2 Li 2.55, 2 Ir 2.72



# 5
An optimized crystal structure of Li2Cd2Ir. Source: Alexandria, functional GGA-PBE.

Properties
As for the total energy: -28.6 eV/cell. The value obtained for the energy relative to the elements is 0.05 eV per atom. The distance to the lowest polymorph of the same formula is 0 meV per atom. Its space group is P4/mbm, No. 127.

Unit cell a=6.9567 b=6.9567 c=3.2096 alpha=90.00 beta=90.00 gamma=90.00
With the nearest neighbours (Å) after each atom.
Positions (direct):
Li: 0.3683 0.8683 0.0000  6 Cd 2.51-2.67, 1 Li 2.59, 2 Ir 2.72
Ir: 0.0000 0.0000 0.0000  4 Li 2.72, 8 Cd 3.04
Li: 0.6317 0.1317 0.0000  6 Cd 2.51-2.67, 1 Li 2.59, 2 Ir 2.72
Li: 0.1317 0.3683 0.0000  6 Cd 2.51-2.67, 1 Li 2.59, 2 Ir 2.72
Cd: 0.1718 0.6718 0.5000  6 Li 2.51-2.67
Cd: 0.3282 0.1718 0.5000  6 Li 2.51-2.67
Cd: 0.6718 0.8282 0.5000  6 Li 2.51-2.67
Cd: 0.8282 0.3282 0.5000  6 Li 2.51-2.67
Li: 0.8683 0.6317 0.0000  6 Cd 2.51-2.67, 1 Li 2.59, 2 Ir 2.72
Ir: 0.5000 0.5000 0.0000  4 Li 2.72, 8 Cd 3.04



# 6
An optimized crystal structure of Li8Cd3Ir. Source: Alexandria, functional GGA-PBE.

Properties
As for the total energy: -26.0 eV/cell. The value obtained for the energy relative to the elements is 0.08 eV per atom. Its space group is I-42m, No. 121.

Unit cell a=6.9921 b=6.9921 c=6.9921 alpha=94.01 beta=117.71 gamma=117.71
With the nearest neighbours (Å) after each atom.
Positions (direct):
Li: 0.0000 0.6504 0.9059  1 Ir 2.49, 3 Li 2.61-2.72
Li: 0.7444 0.0941 0.0941  1 Ir 2.49, 3 Li 2.61-2.72
Li: 0.5330 0.7317 0.7317  1 Ir 2.41, 1 Li 2.68
Li: 0.2556 0.3496 0.3496  1 Ir 2.49, 3 Li 2.61-2.72
Li: 0.0000 0.8013 0.2683  1 Ir 2.41, 1 Li 2.68
Li: 0.4670 0.1987 0.1987  1 Ir 2.41, 1 Li 2.68
Li: 0.0000 0.2683 0.8013  1 Ir 2.41, 1 Li 2.68
Ir: 0.0000 0.0000 0.0000  8 Li 2.41-2.49
Li: 0.0000 0.9059 0.6504  1 Ir 2.49, 3 Li 2.61-2.72
Cd: 0.5000 0.7500 0.2500  4 Li 2.86
Cd: 0.5000 0.2500 0.7500  4 Li 2.86
Cd: 0.0000 0.5000 0.5000  8 Li 2.75-2.96



# 7
An optimized crystal structure of Li12Cd6Ir. Source: Alexandria, functional GGA-PBE.

Properties
As for the total energy: -40.4 eV/cell. The value obtained for the energy relative to the elements is -0.16 eV per atom. Its space group is R-3, No. 148.

Unit cell a=7.1016 b=7.1016 c=7.1016 alpha=91.02 beta=91.02 gamma=91.02
With the nearest neighbours (Å) after each atom.
Positions (direct):
Li: 0.1966 0.4708 0.5610  4 Cd 2.85-2.91, 4 Li 2.91-2.95
Li: 0.5292 0.4390 0.8034  4 Cd 2.85-2.91, 4 Li 2.91-2.95
Li: 0.8034 0.5292 0.4390  4 Cd 2.85-2.91, 4 Li 2.91-2.95
Li: 0.5610 0.1966 0.4708  4 Cd 2.85-2.91, 4 Li 2.91-2.95
Cd: 0.2760 0.1163 0.7368  9 Li 2.85-3.15, 1 Ir 2.85, 2 Cd 2.99
Li: 0.1425 0.3594 0.0384  1 Ir 2.74, 4 Li 2.87-2.92, 4 Cd 2.91-2.99
Cd: 0.2632 0.7240 0.8837  9 Li 2.85-3.15, 1 Ir 2.85, 2 Cd 2.99
Li: 0.4390 0.8034 0.5292  4 Cd 2.85-2.91, 4 Li 2.91-2.95
Li: 0.3594 0.0384 0.1425  1 Ir 2.74, 4 Li 2.87-2.92, 4 Cd 2.91-2.99
Ir: 0.0000 0.0000 0.0000  6 Li 2.74, 6 Cd 2.85
Li: 0.9616 0.8575 0.6406  1 Ir 2.74, 4 Li 2.87-2.92, 4 Cd 2.91-2.99
Cd: 0.1163 0.7368 0.2760  9 Li 2.85-3.15, 1 Ir 2.85, 2 Cd 2.99
Li: 0.0384 0.1425 0.3594  1 Ir 2.74, 4 Li 2.87-2.92, 4 Cd 2.91-2.99
Cd: 0.7240 0.8837 0.2632  9 Li 2.85-3.15, 1 Ir 2.85, 2 Cd 2.99
Li: 0.8575 0.6406 0.9616  1 Ir 2.74, 4 Li 2.87-2.92, 4 Cd 2.91-2.99
Li: 0.6406 0.9616 0.8575  1 Ir 2.74, 4 Li 2.87-2.92, 4 Cd 2.91-2.99
Cd: 0.8837 0.2632 0.7240  9 Li 2.85-3.15, 1 Ir 2.85, 2 Cd 2.99
Li: 0.4708 0.5610 0.1966  4 Cd 2.85-2.91, 4 Li 2.91-2.95
Cd: 0.7368 0.2760 0.1163  9 Li 2.85-3.15, 1 Ir 2.85, 2 Cd 2.99



# 8
An optimized crystal structure of LiCd4Ir. Source: Alexandria, functional GGA-PBE.

Properties
As for the total energy: -13.0 eV/cell. The value obtained for the energy relative to the elements is 0.25 eV per atom. Its space group is F-43m, No. 216.

Unit cell a=5.5335 b=5.5335 c=5.5335 alpha=60.00 beta=60.00 gamma=60.00
With the nearest neighbours (Å) after each atom.
Positions (direct):
Cd: 0.3753 0.3753 0.3753  6 Cd 2.76-2.77
Cd: 0.3753 0.3753 0.8741  6 Cd 2.76-2.77
Cd: 0.8741 0.3753 0.3753  6 Cd 2.76-2.77
Li: 0.0000 0.0000 0.0000  12 Cd 3.25, 4 Ir 3.39
Cd: 0.3753 0.8741 0.3753  6 Cd 2.76-2.77
Ir: 0.7500 0.7500 0.7500  12 Cd 3.24, 4 Li 3.39



# 9
An optimized crystal structure of LiCd3Ir. Source: Alexandria, functional GGA-PBE.

Properties
As for the total energy: -12.6 eV/cell. The value obtained for the energy relative to the elements is 0.18 eV per atom. The distance to the lowest polymorph of the same formula is 0 meV per atom. Its space group is Pm-3m, No. 221.

Unit cell a=5.2033 b=5.2033 c=5.2033 alpha=90.00 beta=90.00 gamma=90.00
With the nearest neighbours (Å) after each atom.
Positions (direct):
Cd: 0.5000 0.0000 0.0000  2 Ir 2.60
Ir: 0.0000 0.0000 0.0000  6 Cd 2.60
Cd: 0.0000 0.0000 0.5000  2 Ir 2.60
Cd: 0.0000 0.5000 0.0000  2 Ir 2.60
Li: 0.5000 0.5000 0.5000  12 Cd 3.68



# 10
An optimized crystal structure of LiCdIr4. Source: Alexandria, functional GGA-PBE.

Properties
As for the total energy: -37.3 eV/cell. The value obtained for the energy relative to the elements is 0.16 eV per atom. Its space group is F-43m, No. 216.

Unit cell a=5.2216 b=5.2216 c=5.2216 alpha=60.00 beta=60.00 gamma=60.00
With the nearest neighbours (Å) after each atom.
Positions (direct):
Cd: 0.0000 0.0000 0.0000  12 Ir 3.06, 4 Li 3.20
Ir: 0.6248 0.6248 0.6248  6 Ir 2.61
Li: 0.2500 0.2500 0.2500  12 Ir 3.06, 4 Cd 3.20
Ir: 0.1256 0.6248 0.6248  6 Ir 2.61
Ir: 0.6248 0.1256 0.6248  6 Ir 2.61
Ir: 0.6248 0.6248 0.1256  6 Ir 2.61



# 11
An optimized crystal structure of Li2MnCdIr. Source: Alexandria, functional GGA-PBE.

Properties
As for the total energy: -17.6 eV/cell. The value obtained for the energy relative to the elements is 1.04 eV per atom. Its space group is P4/mmm, No. 123.

Unit cell a=4.3736 b=4.9716 c=4.3736 alpha=90.00 beta=90.00 gamma=90.00
With the nearest neighbours (Å) after each atom.
Positions (direct):
Mn: 0.0000 0.5000 0.0000  2 Cd 2.49
Li: 0.0000 0.0000 0.5000  2 Cd 2.19
Li: 0.5000 0.0000 0.0000  2 Cd 2.19
Cd: 0.0000 0.0000 0.0000  4 Li 2.19
Ir: 0.5000 0.5000 0.5000  4 Mn 3.09, 8 Li 3.31



# 12
An optimized crystal structure of LiMnCdIr2. Source: Alexandria, functional GGA-PBE.

Properties
As for the total energy: -24.3 eV/cell. The value obtained for the energy relative to the elements is 1.09 eV per atom. Its space group is P4/mmm, No. 123.

Unit cell a=4.2130 b=4.1843 c=4.2130 alpha=90.00 beta=90.00 gamma=90.00
With the nearest neighbours (Å) after each atom.
Positions (direct):
Cd: 0.0000 0.5000 0.0000  2 Li 2.09
Ir: 0.0000 0.0000 0.5000  2 Li 2.11
Li: 0.0000 0.0000 0.0000  2 Cd 2.09, 4 Ir 2.11
Ir: 0.5000 0.0000 0.0000  2 Li 2.11
Mn: 0.5000 0.5000 0.5000  8 Ir 2.97, 4 Cd 2.98